Computed, not measured: a relaxed structure of TlWBr6 at the PBE level of DFT.

a = 7.257 Å, b = 7.257 Å, c = 11.284 Å
α = 89.68°, β = 89.68°, γ = 73.03°
Site moments in Bohr magnetons follow the coordinates.
Sites, in units of the cell vectors:
Br  0.273  0.591  0.406  -0.01
Br  0.727  0.409  0.594  -0.01
Tl  0.010  0.990  0.250  0.00
Br  0.409  0.727  0.094  -0.01
Br  0.591  0.273  0.906  -0.01
Br  0.197  0.149  0.496  0.00
Br  0.803  0.851  0.504  0.00
Tl  0.990  0.010  0.750  0.00
W  0.500  0.000  0.000  0.81
Br  0.533  0.133  0.201  0.00
Br  0.867  0.467  0.299  0.00
Br  0.149  0.197  0.996  0.00
Br  0.851  0.803  0.004  0.00
Br  0.467  0.867  0.799  0.00
W  0.000  0.500  0.500  0.81
Br  0.133  0.533  0.701  0.00

The calculation puts the final energy at -3.7341 eV/atom. As for the uncorrected formation energy: -0.56 eV/atom. The energy relative to the lowest polymorph listed for this composition is 0 meV per atom. The symmetry is No. 15.